Entry 1:
LiLaMg2: optimized geometry, PBE.

## Properties
**DFT formation energy**: -0.03 eV/atom
**Relative energy among the computed polymorphs**: 0.047 eV/atom
**Density of states at the Fermi level**: 1.12 states/eV per cell

Cell and atoms, written as CIF:
```
data_LiLaMg2
_chemical_formula_sum 'Li1 La1 Mg2'
_cell_length_a 5.312
_cell_length_b 5.312
_cell_length_c 5.312
_cell_angle_alpha 60.00
_cell_angle_beta 60.00
_cell_angle_gamma 60.00
_space_group_name_H-M_alt 'P 1'
_space_group_IT_number 1
loop_
_space_group_symop_operation_xyz
'x,y,z'
loop_
_atom_site_label
_atom_site_type_symbol
_atom_site_fract_x
_atom_site_fract_y
_atom_site_fract_z
Li1 Li 0.000 0.000 0.000
La1 La 0.500 0.500 0.500
Mg1 Mg 0.750 0.750 0.750
Mg2 Mg 0.250 0.250 0.250
```

=====

Entry 2:
LiLaMg11: optimized geometry, PBE.

## Properties
**DFT formation energy**: -0.06 eV/atom
**Density of states at the Fermi level**: 7.44 states/eV per cell

Cell and atoms, written as CIF:
```
data_LiLaMg11
_chemical_formula_sum 'Li1 La1 Mg11'
_cell_length_a 5.821
_cell_length_b 7.831
_cell_length_c 7.865
_cell_angle_alpha 82.42
_cell_angle_beta 68.28
_cell_angle_gamma 69.10
_space_group_name_H-M_alt 'P 1'
_space_group_IT_number 1
loop_
_space_group_symop_operation_xyz
'x,y,z'
loop_
_atom_site_label
_atom_site_type_symbol
_atom_site_fract_x
_atom_site_fract_y
_atom_site_fract_z
Mg1 Mg 0.000 0.500 0.000
Mg2 Mg 0.496 0.782 0.212
Mg3 Mg 0.002 0.646 0.351
Mg4 Mg 0.998 0.354 0.649
Mg5 Mg 0.647 0.354 0.351
Mg6 Mg 0.504 0.218 0.788
Mg7 Mg 0.000 0.000 0.500
Mg8 Mg 0.353 0.646 0.649
Mg9 Mg 0.500 0.000 0.500
Mg10 Mg 0.292 0.218 0.212
Mg11 Mg 0.708 0.782 0.788
La1 La 0.000 0.000 0.000
Li1 Li 0.500 0.500 0.000
```

=====

Entry 3:
LiLaMg14: optimized geometry, PBE.

## Properties
**DFT formation energy**: 0.02 eV/atom
**Relative energy among the computed polymorphs**: 0.015 eV/atom
**Density of states at the Fermi level**: 8.50 states/eV per cell

Cell and atoms, written as CIF:
```
data_LiLaMg14
_chemical_formula_sum 'Li1 La1 Mg14'
_cell_length_a 6.626
_cell_length_b 6.626
_cell_length_c 10.410
_cell_angle_alpha 90.00
_cell_angle_beta 90.00
_cell_angle_gamma 122.29
_space_group_name_H-M_alt 'P 1'
_space_group_IT_number 1
loop_
_space_group_symop_operation_xyz
'x,y,z'
loop_
_atom_site_label
_atom_site_type_symbol
_atom_site_fract_x
_atom_site_fract_y
_atom_site_fract_z
Mg1 Mg 0.312 0.176 0.500
Mg2 Mg 0.828 0.661 0.000
Mg3 Mg 0.165 0.835 0.239
Mg4 Mg 0.165 0.835 0.761
Mg5 Mg 0.672 0.828 0.245
Mg6 Mg 0.172 0.328 0.755
Mg7 Mg 0.333 0.667 0.000
Mg8 Mg 0.833 0.167 0.000
Mg9 Mg 0.172 0.328 0.245
Mg10 Mg 0.672 0.828 0.755
Mg11 Mg 0.339 0.172 0.000
Mg12 Mg 0.677 0.323 0.732
Mg13 Mg 0.677 0.323 0.268
Mg14 Mg 0.824 0.688 0.500
La1 La 0.318 0.682 0.500
Li1 Li 0.842 0.158 0.500
```

=====

Entry 4:
LiLa4Mg3: optimized geometry, PBE.

## Properties
**DFT formation energy**: -0.06 eV/atom
**Density of states at the Fermi level**: 8.54 states/eV per cell

Cell and atoms, written as CIF:
```
data_LiLa4Mg3
_chemical_formula_sum 'Li1 La4 Mg3'
_cell_length_a 3.962
_cell_length_b 3.962
_cell_length_c 15.763
_cell_angle_alpha 90.00
_cell_angle_beta 90.00
_cell_angle_gamma 90.00
_space_group_name_H-M_alt 'P 1'
_space_group_IT_number 1
loop_
_space_group_symop_operation_xyz
'x,y,z'
loop_
_atom_site_label
_atom_site_type_symbol
_atom_site_fract_x
_atom_site_fract_y
_atom_site_fract_z
Mg1 Mg 0.500 0.500 0.751
Mg2 Mg 0.500 0.500 0.500
Mg3 Mg 0.500 0.500 0.249
La1 La 0.000 0.000 0.626
La2 La 0.000 0.000 0.874
La3 La 0.000 0.000 0.374
La4 La 0.000 0.000 0.126
Li1 Li 0.500 0.500 0.000
```